(1)
The following is a DFT calculation (PBE) of Rb3La3USe8 after structural relaxation.

Properties
Space-group type ... R-3m
E_tot ... -5.472 eV/atom
Raw formation energy ... -1.682 eV/atom
Calculated density ... 4.7 Mg/m³

Cell lengths 8.814, 8.813, 9.570 Å; angles 117.44, 90.00, 120.00 degrees
Each line ends with the local moment (μB).
Fractional positions:
1 Se 0.222 0.444 0.691  -0.03
2 La 0.000 0.500 0.500  0.01
3 Se 0.222 0.969 0.691  -0.03
4 Rb 0.000 0.000 0.000  0.00
5 La 0.500 0.000 0.500  0.01
6 Rb 0.500 0.500 0.000  0.00
7 Se 0.747 0.969 0.691  -0.03
8 U 0.000 0.000 0.500  2.06
9 Se 0.253 0.031 0.309  -0.03
10 Se 0.734 0.468 0.701  0.00
11 La 0.500 0.500 0.500  0.01
12 Se 0.266 0.532 0.299  0.00
13 Se 0.778 0.556 0.309  -0.03
14 Se 0.778 0.031 0.309  -0.03
15 Rb 0.000 0.500 0.000  0.00

(2)
The following is a DFT calculation (PBE) of Pr9Dy4In11 after structural relaxation.

Properties
Space-group type ... Cmmm
E_tot ... -4.222 eV/atom
Calculated density ... 7.5 Mg/m³

Cell lengths 3.557, 14.151, 14.151 Å; angles 100.13, 90.00, 90.00 degrees
Fractional positions:
1 Pr 0.500 0.858 0.373
2 In 0.000 0.365 0.635
3 In 0.000 0.422 0.069
4 In 0.000 0.242 0.242
5 In 0.000 0.578 0.931
6 Pr 0.500 0.037 0.209
7 Dy 0.500 0.738 0.567
8 In 0.000 0.069 0.422
9 In 0.000 0.635 0.365
10 In 0.000 0.758 0.758
11 In 0.000 0.834 0.166
12 Pr 0.500 0.500 0.500
13 In 0.000 0.166 0.834
14 Pr 0.500 0.209 0.037
15 Pr 0.500 0.627 0.142
16 Dy 0.500 0.567 0.738
17 Pr 0.500 0.142 0.627
18 Dy 0.500 0.262 0.433
19 Pr 0.500 0.963 0.791
20 Pr 0.500 0.373 0.858
21 Dy 0.500 0.433 0.262
22 Pr 0.500 0.791 0.963
23 In 0.000 0.931 0.578
24 In 0.000 0.000 0.000

(3)
The following is a DFT calculation (PBE) of AcZnSnAu after structural relaxation.

Properties
Space-group type ... F-43m
E_tot ... -3.667 eV/atom
Calculated density ... 10.0 Mg/m³

Cell lengths 5.219, 5.219, 5.219 Å; angles 60.00, 60.00, 60.00 degrees
Fractional positions:
1 Ac 0.750 0.750 0.750
2 Sn 0.250 0.250 0.250
3 Au 0.000 0.000 0.000
4 Zn 0.500 0.500 0.500

(4)
The following is a DFT calculation (PBE) of Mg3IrAu after structural relaxation.

Properties
Distance to the lowest polymorph of the same formula ... 0.00 eV/f.u.
Space-group type ... Pm-3m
E_tot ... -3.292 eV/atom
Calculated density ... 6.5 Mg/m³

Cell lengths 4.906, 4.906, 4.906 Å; angles 90.00, 90.00, 90.00 degrees
Fractional positions:
1 Mg 0.000 0.500 0.000
2 Au 0.500 0.500 0.500
3 Mg 0.500 0.000 0.000
4 Mg 0.000 0.000 0.500
5 Ir 0.000 0.000 0.000

(5)
The following is a DFT calculation (PBE) of Mg3Cu2As3O12 after structural relaxation.

Properties
Space-group type ... C2/c
E_tot ... -5.952 eV/atom
Raw formation energy ... -1.630 eV/atom
Calculated density ... 4.1 Mg/m³

Cell lengths 6.819, 8.892, 8.892 Å; angles 94.57, 105.25, 105.25 degrees
Each line ends with the local moment (μB).
Fractional positions:
1 Mg 0.120 0.056 0.370  0.00
2 O 0.766 0.726 0.489  0.09
3 As 0.250 0.288 0.712  0.00
4 As 0.878 0.650 0.886  0.01
5 As 0.122 0.350 0.114  0.01
6 O 0.181 0.975 0.596  0.01
7 As 0.622 0.114 0.350  0.01
8 O 0.266 0.489 0.726  0.09
9 O 0.980 0.819 0.255  0.00
10 O 0.377 0.988 0.334  0.01
11 O 0.819 0.025 0.404  0.01
12 O 0.020 0.181 0.745  0.00
13 O 0.734 0.511 0.274  0.09
14 Cu 0.250 0.497 0.503  0.58
15 O 0.184 0.494 0.276  0.05
16 O 0.610 0.171 0.166  0.00
17 O 0.816 0.506 0.724  0.05
18 O 0.234 0.274 0.511  0.09
19 Mg 0.880 0.944 0.630  0.00
20 O 0.684 0.276 0.494  0.05
21 O 0.123 0.666 0.012  0.01
22 O 0.319 0.404 0.025  0.01
23 O 0.390 0.829 0.834  0.00
24 Cu 0.000 0.000 0.000  0.05
25 O 0.316 0.724 0.506  0.05
26 Mg 0.620 0.370 0.056  0.00
27 Mg 0.750 0.259 0.741  0.00
28 O 0.520 0.745 0.181  0.00
29 O 0.877 0.334 0.988  0.01
30 O 0.623 0.012 0.666  0.01
31 O 0.480 0.255 0.819  0.00
32 Mg 0.380 0.630 0.944  0.00
33 As 0.378 0.886 0.650  0.01
34 Cu 0.500 0.000 0.000  0.05
35 As 0.750 0.712 0.288  0.00
36 O 0.681 0.596 0.975  0.01
37 Mg 0.250 0.741 0.259  0.00
38 Cu 0.750 0.503 0.497  0.58
39 O 0.110 0.166 0.171  0.00
40 O 0.890 0.834 0.829  0.00

(6)
The following is a DFT calculation (PBE) of Zn8Cd after structural relaxation.

Properties
Space-group type ... I4/mmm
E_tot ... -1.181 eV/atom
Calculated density ... 7.3 Mg/m³

Cell lengths 6.338, 6.338, 8.507 Å; angles 47.85, 47.85, 84.30 degrees
Fractional positions:
1 Zn 0.000 0.000 0.339
2 Zn 0.339 0.661 0.000
3 Zn 0.674 0.326 0.674
4 Zn 0.661 0.339 0.000
5 Zn 0.674 0.326 0.326
6 Zn 0.326 0.674 0.326
7 Cd 0.000 0.000 0.000
8 Zn 0.326 0.674 0.674
9 Zn 0.000 0.000 0.661